[1]
DFT (PBE) results for a geometry-optimized TaVI2N structure.

- DOS(E_F): 0.9318 states/eV/atom
- Formation energy from raw total energies: 0.53 eV per atom
- Energy above the most stable polymorph in this dataset: 0 meV/atom
- Mass density: 6.6 g cm⁻³

Cell: 5.6737 5.6737 3.9080 Å, 90.00 90.00 90.00°
Last column: nearest neighbours and their distance in Å.
Sites, in units of the cell vectors:
V  0.5000  0.5000  0.5000  8 I 3.44
N  0.0000  0.0000  0.5000  2 Ta 1.95
I  0.5000  0.0000  0.0000  2 Ta 2.84
I  0.0000  0.5000  0.0000  2 Ta 2.84
Ta  0.0000  0.0000  0.0000  2 N 1.95

---

[2]
DFT (PBE) results for a geometry-optimized La2Co2Ag structure.

- DOS(E_F): 0.9886 states/eV/atom
- E_form: -77 kJ/mol of formula units
- Energy above the most stable polymorph in this dataset: 0 meV/atom
- Mass density: 7.4 g cm⁻³

Cell: 4.0053 3.9824 7.3228 Å, 105.78 90.00 90.00°
Last column: nearest neighbours and their distance in Å.
Sites, in units of the cell vectors:
Co  0.0000  0.7896  0.5793  2 Co 2.28
Co  0.0000  0.2104  0.4207  2 Co 2.28
La  0.5000  0.6337  0.2674  6 Co 2.97-3.02
La  0.5000  0.3663  0.7326  6 Co 2.97-3.02
Ag  0.0000  0.0000  0.0000  2 Co 2.96

---

[3]
DFT (PBE) results for a geometry-optimized TeMo3 structure.

- DOS(E_F): 0.9961 states/eV/atom
- Formation energy from raw total energies: 0.46 eV per atom
- Energy above the most stable polymorph in this dataset: 159 meV/atom
- Mass density: 9.6 g cm⁻³

Cell: 8.5103 8.5103 8.5103 Å, 21.39 21.39 21.39°
Last column: nearest neighbours and their distance in Å.
Sites, in units of the cell vectors:
Mo  0.7560  0.7560  0.7560  3 Mo 2.65, 3 Te 2.88
Mo  0.5000  0.5000  0.5000  6 Mo 2.65
Mo  0.2440  0.2440  0.2440  3 Mo 2.65, 3 Te 2.88
Te  0.0000  0.0000  0.0000  6 Mo 2.88, 6 Te 3.16